Record 1
## AgSnSBr (PBE-GGA)

Data for a geometry-optimized AgSnSBr structure.

abc: 4.081 4.082 8.283
angles: 75.72 75.74 60.01
Element x y z (fractional)
Ag: 0.751 0.962 0.537
Sn: 0.255 0.472 0.018
S: 0.646 0.863 0.845
Br: 0.478 0.691 0.354

Its crystal system is monoclinic. The raw formation energy comes out at -0.3586 eV/atom. Its space group is Cm, No. 8. The value obtained for the total moment is 0.00 Bohr magnetons per cell.

=====

Record 2
## Zr3CoSb2 (PBE-GGA)

Data for a geometry-optimized Zr3CoSb2 structure.

abc: 3.970 11.033 11.522
angles: 90.00 90.00 90.00
Element x y z (fractional)
Zr: 0.250 0.385 0.054
Zr: 0.750 0.615 0.946
Zr: 0.750 0.885 0.446
Zr: 0.250 0.115 0.554
Zr: 0.250 0.729 0.245
Zr: 0.750 0.271 0.755
Zr: 0.750 0.229 0.255
Zr: 0.250 0.771 0.745
Zr: 0.250 0.456 0.381
Zr: 0.750 0.544 0.619
Zr: 0.750 0.956 0.119
Zr: 0.250 0.044 0.881
Co: 0.250 0.133 0.119
Co: 0.750 0.867 0.881
Co: 0.750 0.633 0.381
Co: 0.250 0.367 0.619
Sb: 0.250 0.698 0.501
Sb: 0.750 0.302 0.499
Sb: 0.750 0.198 0.999
Sb: 0.250 0.802 0.001
Sb: 0.250 0.016 0.309
Sb: 0.750 0.984 0.691
Sb: 0.750 0.516 0.191
Sb: 0.250 0.484 0.809

Its crystal system is orthorhombic. The raw formation energy comes out at -0.5921 eV/atom. Its space group is Pnma, No. 62. For the density of states at the Fermi level, the calculation gives 5.0 states/eV/f.u. The value obtained for the total moment is 0.00 Bohr magnetons per cell.

=====

Record 3
## Ba2CdSnPd6 (PBE-GGA)

Data for a geometry-optimized Ba2CdSnPd6 structure.

abc: 7.038 7.208 9.063
angles: 49.66 51.34 82.34
Element x y z (fractional)
Ba: 0.744 0.256 0.542
Ba: 0.256 0.744 0.458
Cd: 0.000 0.000 0.000
Sn: 0.500 0.500 0.000
Pd: 0.259 0.229 0.497
Pd: 0.773 0.741 0.984
Pd: 0.251 0.752 0.838
Pd: 0.749 0.248 0.162
Pd: 0.227 0.259 0.016
Pd: 0.741 0.771 0.503

Its crystal system is triclinic. Its space group is P-1, No. 2. The formation energy comes out at -0.51 eV per atom. For the density of states at the Fermi level, the calculation gives 3.1 states/eV/f.u. The value obtained for the total moment is 0.00 Bohr magnetons per cell.

=====

Record 4
## TaNi5Pt8 (PBE-GGA)

Data for a geometry-optimized TaNi5Pt8 structure.

abc: 6.488 6.488 6.488
angles: 109.95 108.51 109.95
Element x y z (fractional)
Ta: 0.250 0.500 0.750
Ni: 0.035 0.320 0.121
Ni: 0.879 0.914 0.199
Ni: 0.801 0.680 0.715
Ni: 0.500 0.000 0.500
Ni: 0.285 0.086 0.965
Pt: 0.140 0.722 0.074
Pt: 0.926 0.066 0.648
Pt: 0.757 0.267 0.356
Pt: 0.644 0.401 0.911
Pt: 0.510 0.599 0.243
Pt: 0.582 0.934 0.860
Pt: 0.352 0.278 0.418
Pt: 0.089 0.733 0.490

Its crystal system is tetragonal. Its space group is I-4, No. 82. The formation energy comes out at -0.03 eV per atom. For the density of states at the Fermi level, the calculation gives 19.5 states/eV/f.u. The value obtained for the total moment is 3.52 Bohr magnetons per cell.

=====

Record 5
## Si2SnGePt (PBE-GGA)

Data for a geometry-optimized Si2SnGePt structure.

abc: 4.585 5.715 4.585
angles: 90.00 90.00 90.00
Element x y z (fractional)
Ge: 0.500 0.500 0.500
Si: 0.000 0.000 0.500
Si: 0.500 0.000 0.000
Sn: 0.000 0.500 0.000
Pt: 0.000 0.000 0.000

Its crystal system is tetragonal. The raw formation energy comes out at 0.4213 eV/atom. Its space group is P4/mmm, No. 123. For the density of states at the Fermi level, the calculation gives 4.0 states/eV/f.u. The value obtained for the total moment is 0.00 Bohr magnetons per cell.

=====

Record 6
## Pu8Ge2Os (PBE-GGA)

Data for a geometry-optimized Pu8Ge2Os structure.

abc: 5.218 7.009 7.517
angles: 113.81 110.31 90.00
Element x y z (fractional)
Ge: 0.193 0.633 0.385
Ge: 0.807 0.367 0.615
Os: 0.500 0.000 0.000
Pu: 0.603 0.423 0.207
Pu: 0.321 0.089 0.642
Pu: 0.162 0.181 0.323
Pu: 0.021 0.784 0.043
Pu: 0.838 0.819 0.677
Pu: 0.679 0.911 0.358
Pu: 0.397 0.577 0.793
Pu: 0.979 0.216 0.957

Its crystal system is monoclinic. Its space group is C2/m, No. 12. The formation energy comes out at -0.13 eV per atom. For the density of states at the Fermi level, the calculation gives 36.3 states/eV/f.u. The value obtained for the total moment is 20.90 Bohr magnetons per cell.